PmNd2Ho2: optimized geometry, PBE-GGA.

The value obtained for the formation energy from the elements is 0.004 eV/atom. For the volume, the calculation gives 33.32 Å³ per atom. Its space-group type is No. 12. The relative energy among the computed polymorphs comes out at 0.00 eV/f.u. The total energy comes out at -23.42 eV for the cell shown. Its density is 7.6 g/cm3.

abc: 3.6302 3.6258 16.4451
angles: 63.91 83.66 59.96
Closest atoms and distances in Å follow each position.
Positions (direct):
Ho 0.7030 0.2908 0.3031  3 Pm 3.56, 3 Nd 3.57-3.58, 6 Ho 3.63
Ho 0.2970 0.7092 0.6969  3 Pm 3.56, 3 Nd 3.57-3.58, 6 Ho 3.63
Pm 0.5000 0.5000 0.5000  6 Ho 3.56, 6 Pm 3.63
Nd 0.7631 0.5786 0.8951  3 Ho 3.57-3.58, 9 Nd 3.63-3.72
Nd 0.2369 0.4214 0.1049  3 Ho 3.57-3.58, 9 Nd 3.63-3.72